This record from Alexandria via LeMat-Bulk describes a geometry-optimized Pu2Cd3Hg2 structure. The functional is PBE-GGA.

The calculated total energy is -4.681 eV/atom. The energy of formation is -10.4 kJ/mol of atoms.

The structure belongs to space group Cmmm (No. 65); the cell edges are 5.1064, 21.7306 and 3.0799 Å and the angles 90.00°, 90.00° and 90.00°. Symmetry generates all atoms from Pu at (0.0000, 0.1434, 0.0000), Cd at (0.0000, 0.0000, 0.5000), Cd at (0.0000, 0.2828, 0.5000) and Hg at (0.0000, 0.4242, 0.5000).

---

This record from Alexandria via LeMat-Bulk describes a geometry-optimized PuCd11Hg structure. The functional is PBE-GGA.

The calculated total energy is -1.906 eV/atom. The energy of formation is -0.6 kJ/mol of atoms.

The structure belongs to space group C2/m (No. 12); the cell edges are 5.9804, 14.2171 and 7.7064 Å and the angles 90.00°, 112.67° and 90.00°. Symmetry generates all atoms from Pu at (0.0000, 0.0000, 0.0000), Cd at (0.0000, 0.5000, 0.5000), Cd at (0.1030, 0.3942, 0.2109), Cd at (0.1777, 0.1766, 0.3509), Cd at (0.2500, 0.2500, 0.0000) and Hg at (0.0000, 0.0000, 0.5000).